RbBi2Pd: relaxed, PBEsol.

Cell and atoms, written as extended XYZ:
```
8
Lattice="5.987 0.000 0.000 0.000 5.987 0.000 -2.993 -2.993 9.030" Properties=species:S:1:pos:R:3 pbc="T T T"
Pd 0.000 2.993 4.515
Pd 0.000 0.000 0.000
Bi 0.000 1.497 2.257
Bi 0.000 4.490 2.257
Bi -1.497 2.993 6.772
Bi 1.497 2.993 6.772
Rb 2.993 0.000 4.515
Rb 2.993 2.993 0.000
```

Calculated values
Formation enthalpy at 0 K ... 15.3 meV per atom
Theoretical density ... 6.3 g cm⁻³
E above lowest polymorph ... 0.00 eV per formula unit
Total moment ... 0.0000 μB per atom
Electronic total energy ... -31.0 eV for the cell shown
V ... 40.5 Å³ per atom

---

TlPbAu: relaxed, PBEsol.

Cell and atoms, written as extended XYZ:
```
3
Lattice="3.480 0.104 -0.023 -0.095 3.481 -0.023 -1.731 -1.833 6.080" Properties=species:S:1:pos:R:3 pbc="T T T"
Tl -0.021 -0.023 4.268
Pb 1.679 1.778 1.756
Au -0.003 -0.003 0.011
```

Calculated values
Formation enthalpy at 0 K ... 18.3 meV per atom
Theoretical density ... 13.8 g cm⁻³
Total moment ... 0.0000 μB per atom
Electronic total energy ... -10.5 eV for the cell shown
V ... 24.5 Å³ per atom

---

BaCu2GeI: relaxed, PBEsol.

Cell and atoms, written as extended XYZ:
```
5
Lattice="-2.811 2.586 2.721 -1.580 -3.899 2.074 4.617 0.443 4.350" Properties=species:S:1:pos:R:3 pbc="T T T"
Ge 0.000 0.000 0.000
Ba 2.309 0.222 2.175
I 0.113 -0.435 4.572
Cu -0.790 -1.949 1.037
Cu -1.406 1.293 1.360
```

Calculated values
Formation energy without anion corrections ... -171 meV per atom
Theoretical density ... 5.5 g cm⁻³
Total moment ... 0.0000 μB per atom
Electronic total energy ... -18.4 eV for the cell shown
V ... 28.0 Å³ per atom

---

Co5Tc: relaxed, PBEsol.

Cell and atoms, written as extended XYZ:
```
6
Lattice="-3.506 -0.430 1.823 0.297 -4.275 -0.438 1.590 1.921 3.512" Properties=species:S:1:pos:R:3 pbc="T T T"
Co 0.647 -0.807 1.054
Co -0.594 -0.360 3.107
Tc -1.753 -0.215 0.911
Co 1.045 1.262 2.308
Co -1.025 -2.425 1.790
Co 0.195 -2.809 -0.288
```

Calculated values
Formation enthalpy at 0 K ... 25.3 meV per atom
Theoretical density ... 10.2 g cm⁻³
E above lowest polymorph ... 0.00 eV per formula unit
Total moment ... 0.6757 μB per atom
Electronic total energy ... -49.8 eV for the cell shown
V ... 10.6 Å³ per atom

---

LiIr2Ru: relaxed, PBEsol.

Cell and atoms, written as extended XYZ:
```
4
Lattice="-1.738 1.769 -0.873 -2.282 -0.228 4.082 3.360 3.290 -0.024" Properties=species:S:1:pos:R:3 pbc="T T T"
Li -2.010 0.770 1.605
Ru 0.539 1.531 2.029
Ir 0.000 0.000 0.000
Ir 0.811 2.530 -0.448
```

Calculated values
Formation enthalpy at 0 K ... 85.6 meV per atom
Theoretical density ... 15.3 g cm⁻³
E above lowest polymorph ... 0.22 eV per formula unit
Total moment ... 0.0006 μB per atom
Electronic total energy ... -31.4 eV for the cell shown
V ... 13.3 Å³ per atom

---

WBrCl2: relaxed, PBEsol.

Cell and atoms, written as extended XYZ:
```
4
Lattice="3.265 -0.010 0.000 -0.190 5.105 0.000 -1.538 -2.548 4.490" Properties=species:S:1:pos:R:3 pbc="T T T"
Cl -0.769 -1.274 2.245
W 1.633 -0.005 0.000
Cl 0.769 1.274 2.245
Br -0.095 2.552 0.000
```

Calculated values
Formation energy without anion corrections ... 938 meV per atom
Theoretical density ... 7.4 g cm⁻³
E above lowest polymorph ... 5.19 eV per formula unit
Total moment ... 0.5801 μB per atom
Electronic total energy ... -15.9 eV for the cell shown
V ... 18.7 Å³ per atom

---

MgSeSN2: relaxed, PBEsol.

Cell and atoms, written as extended XYZ:
```
5
Lattice="3.675 0.000 0.000 0.000 3.675 0.000 0.000 0.000 5.398" Properties=species:S:1:pos:R:3 pbc="T T T"
N 0.000 1.837 0.000
Se 0.000 0.000 0.000
N 1.837 0.000 0.000
S 0.000 0.000 2.699
Mg 1.837 1.837 2.699
```

Calculated values
Formation energy without anion corrections ... 840 meV per atom
Theoretical density ... 3.7 g cm⁻³
Total moment ... 0.0000 μB per atom
Electronic total energy ... -22.8 eV for the cell shown
V ... 14.6 Å³ per atom

---

SbTe2PdN: relaxed, PBEsol.

Cell and atoms, written as extended XYZ:
```
5
Lattice="3.775 0.000 0.000 0.000 5.679 0.000 0.000 0.000 5.679" Properties=species:S:1:pos:R:3 pbc="T T T"
Sb 0.000 0.000 0.000
Pd 1.888 2.839 2.839
Te 0.000 2.839 0.000
N 1.888 0.000 0.000
Te 0.000 0.000 2.839
```

Calculated values
Formation energy without anion corrections ... 1015 meV per atom
Theoretical density ... 6.8 g cm⁻³
Total moment ... 0.0000 μB per atom
Electronic total energy ... -21.0 eV for the cell shown
V ... 24.3 Å³ per atom

---

total moment of number 6 (WBrCl2)? 0.5801 μB per atom

---

Which value of V does entry 8 give? 24.3 Å³ per atom

---

electronic total energy of number 1 (RbBi2Pd)? -31.0 eV for the cell shown